Model 1:
First-principles (PBE-GGA) data for a relaxed structure of TbPm5Dy3, as listed in Alexandria via LeMat-Bulk.

Cell and atoms, written as CIF:
```
data_TbPm5Dy3
_symmetry_space_group_name_H-M 'I 4/m c m'
_symmetry_Int_Tables_number 140
_symmetry_space_group_name_Hall '-I 4 2c'
_cell_length_a 9.2117
_cell_length_b 9.2117
_cell_length_c 14.4319
_cell_angle_alpha 90.00
_cell_angle_beta 90.00
_cell_angle_gamma 90.00
loop_
_atom_site_label
_atom_site_fract_x
_atom_site_fract_y
_atom_site_fract_z
Tb1 0.0000 0.5000 0.2500
Pm1 0.0000 0.0000 0.0000
Pm2 0.2031 0.2969 0.1328
Dy1 0.0000 0.0000 0.2500
Dy2 0.1107 0.3893 0.5000
```

Magnetization = 0.000 μB/f.u.
ρ = 7438 kg/m³

---

Model 2:
First-principles (PBE-GGA) data for a relaxed structure of TbPm5Dy3, as listed in Alexandria via LeMat-Bulk.

Cell and atoms, written as CIF:
```
data_TbPm5Dy3
_symmetry_space_group_name_H-M 'C m c m'
_symmetry_Int_Tables_number 63
_symmetry_space_group_name_Hall '-C 2c 2'
_cell_length_a 17.5977
_cell_length_b 9.3592
_cell_length_c 7.2996
_cell_angle_alpha 90.00
_cell_angle_beta 90.00
_cell_angle_gamma 90.00
loop_
_atom_site_label
_atom_site_fract_x
_atom_site_fract_y
_atom_site_fract_z
Tb1 0.0000 0.1706 0.2500
Pm1 0.0000 0.1959 0.7500
Pm2 0.1640 0.1764 0.5011
Dy1 0.0000 0.5000 0.0000
Dy2 0.1786 0.4997 0.2500
```

Magnetization = 0.000 μB/f.u.
ρ = 7577 kg/m³

---

Most stable: model 2. Least stable: model 1.

---

Model 1:
First-principles (PBE-GGA) data for a relaxed structure of Tb3Pm2Dy8, as listed in Alexandria via LeMat-Bulk.

Cell and atoms, written as CIF:
```
data_Tb3Pm2Dy8
_symmetry_space_group_name_H-M 'P 1 2/m 1'
_symmetry_Int_Tables_number 10
_symmetry_space_group_name_Hall '-P 2y'
_cell_length_a 7.6292
_cell_length_b 5.5707
_cell_length_c 10.9667
_cell_angle_alpha 90.00
_cell_angle_beta 110.33
_cell_angle_gamma 90.00
loop_
_atom_site_label
_atom_site_fract_x
_atom_site_fract_y
_atom_site_fract_z
Tb1 0.0000 0.0000 0.0000
Tb2 0.2875 0.5000 0.9999
Pm1 0.2413 0.0000 0.4822
Dy1 0.1302 0.5000 0.2602
Dy2 0.1815 0.0000 0.7864
Dy3 0.3366 0.5000 0.6727
Dy4 0.3949 0.0000 0.2137
```

Magnetization = 0.000 μB/f.u.
ρ = 7853 kg/m³

---

Model 2:
First-principles (PBE-GGA) data for a relaxed structure of Tb3Pm2Dy8, as listed in Alexandria via LeMat-Bulk.

Cell and atoms, written as CIF:
```
data_Tb3Pm2Dy8
_symmetry_space_group_name_H-M 'P b a m'
_symmetry_Int_Tables_number 55
_symmetry_space_group_name_Hall '-P 2 2ab'
_cell_length_a 11.7355
_cell_length_b 20.6829
_cell_length_c 3.5037
_cell_angle_alpha 90.00
_cell_angle_beta 90.00
_cell_angle_gamma 90.00
loop_
_atom_site_label
_atom_site_fract_x
_atom_site_fract_y
_atom_site_fract_z
Tb1 0.0000 0.0000 0.0000
Tb2 0.1450 0.2986 0.0000
Pm1 0.1802 0.9017 0.5000
Dy1 0.0453 0.4286 0.5000
Dy2 0.0523 0.1584 0.0000
Dy3 0.1271 0.7144 0.5000
Dy4 0.2075 0.5537 0.0000
```

Magnetization = 0.000 μB/f.u.
ρ = 8071 kg/m³

---

Most stable: model 2. Least stable: model 1.

---

Model 1:
First-principles (PBE-GGA) data for a relaxed structure of Tb7Pm4Dy, as listed in Alexandria via LeMat-Bulk.

Cell and atoms, written as CIF:
```
data_Tb7Pm4Dy
_symmetry_space_group_name_H-M 'C 1 2/m 1'
_symmetry_Int_Tables_number 12
_symmetry_space_group_name_Hall '-C 2y'
_cell_length_a 12.1004
_cell_length_b 5.9485
_cell_length_c 12.8008
_cell_angle_alpha 90.00
_cell_angle_beta 118.06
_cell_angle_gamma 90.00
loop_
_atom_site_label
_atom_site_fract_x
_atom_site_fract_y
_atom_site_fract_z
Tb1 0.0000 0.0000 0.0000
Tb2 0.1348 0.5000 0.5034
Tb3 0.2116 0.0000 0.9233
Tb4 0.2477 0.5000 0.3148
Pm1 0.0578 0.0000 0.3293
Pm2 0.1373 0.5000 0.7773
Dy1 0.0000 0.5000 0.0000
```

Magnetization = 0.000 μB/f.u.
ρ = 7576 kg/m³

---

Model 2:
First-principles (PBE-GGA) data for a relaxed structure of Tb7Pm4Dy, as listed in Alexandria via LeMat-Bulk.

Cell and atoms, written as CIF:
```
data_Tb7Pm4Dy
_symmetry_space_group_name_H-M 'P -1'
_symmetry_Int_Tables_number 2
_symmetry_space_group_name_Hall '-P 1'
_cell_length_a 6.5584
_cell_length_b 6.8530
_cell_length_c 9.1342
_cell_angle_alpha 85.58
_cell_angle_beta 77.23
_cell_angle_gamma 82.28
loop_
_atom_site_label
_atom_site_fract_x
_atom_site_fract_y
_atom_site_fract_z
Tb1 0.0000 0.0000 0.0000
Tb2 0.1900 0.6053 0.3853
Tb3 0.3167 0.1976 0.6399
Tb4 0.4879 0.7476 0.0517
Pm1 0.1598 0.1153 0.3077
Pm2 0.3606 0.6906 0.7179
Dy1 0.0000 0.5000 0.0000
```

Magnetization = 0.000 μB/f.u.
ρ = 7773 kg/m³

---

Most stable: model 2. Least stable: model 1.

---

Model 1:
First-principles (PBE-GGA) data for a relaxed structure of Tb3Pm5Dy4, as listed in Alexandria via LeMat-Bulk.

Cell and atoms, written as CIF:
```
data_Tb3Pm5Dy4
_symmetry_space_group_name_H-M 'C 1 2/m 1'
_symmetry_Int_Tables_number 12
_symmetry_space_group_name_Hall '-C 2y'
_cell_length_a 9.7946
_cell_length_b 5.8119
_cell_length_c 14.9500
_cell_angle_alpha 90.00
_cell_angle_beta 108.93
_cell_angle_gamma 90.00
loop_
_atom_site_label
_atom_site_fract_x
_atom_site_fract_y
_atom_site_fract_z
Tb1 0.0000 0.0000 0.0000
Tb2 0.2054 0.5000 0.2490
Pm1 0.0000 0.5000 0.0000
Pm2 0.0455 0.0000 0.2469
Pm3 0.1677 0.0000 0.4991
Dy1 0.0615 0.5000 0.6241
Dy2 0.1773 0.5000 0.8574
```

Magnetization = 0.000 μB/f.u.
ρ = 7640 kg/m³

---

Model 2:
First-principles (PBE-GGA) data for a relaxed structure of Tb3Pm5Dy4, as listed in Alexandria via LeMat-Bulk.

Cell and atoms, written as CIF:
```
data_Tb3Pm5Dy4
_symmetry_space_group_name_H-M 'P -1'
_symmetry_Int_Tables_number 2
_symmetry_space_group_name_Hall '-P 1'
_cell_length_a 6.2187
_cell_length_b 7.1797
_cell_length_c 8.7936
_cell_angle_alpha 90.06
_cell_angle_beta 90.11
_cell_angle_gamma 90.10
loop_
_atom_site_label
_atom_site_fract_x
_atom_site_fract_y
_atom_site_fract_z
Tb1 0.0000 0.0000 0.0000
Tb2 0.1665 0.7486 0.6654
Pm1 0.0000 0.5000 0.0000
Pm2 0.3319 0.0003 0.3348
Pm3 0.4999 0.2508 0.9999
Dy1 0.1664 0.2511 0.6653
Dy2 0.3340 0.5002 0.3354
```

Magnetization = 0.000 μB/f.u.
ρ = 7832 kg/m³

---

Most stable: model 2. Least stable: model 1.

---

Model 1:
First-principles (PBE-GGA) data for a relaxed structure of Tb3Pm8Dy2, as listed in Alexandria via LeMat-Bulk.

Cell and atoms, written as CIF:
```
data_Tb3Pm8Dy2
_symmetry_space_group_name_H-M 'C m m m'
_symmetry_Int_Tables_number 65
_symmetry_space_group_name_Hall '-C 2 2'
_cell_length_a 7.7207
_cell_length_b 20.3519
_cell_length_c 5.7241
_cell_angle_alpha 90.00
_cell_angle_beta 90.00
_cell_angle_gamma 90.00
loop_
_atom_site_label
_atom_site_fract_x
_atom_site_fract_y
_atom_site_fract_z
Tb1 0.0000 0.0000 0.0000
Tb2 0.2131 0.5000 0.5000
Pm1 0.0000 0.1320 0.5000
Pm2 0.0000 0.3275 0.5000
Pm3 0.2061 0.3936 0.0000
Dy1 0.0000 0.2402 0.0000
```

Magnetization = 0.000 μB/f.u.
ρ = 7244 kg/m³

---

Model 2:
First-principles (PBE-GGA) data for a relaxed structure of Tb3Pm8Dy2, as listed in Alexandria via LeMat-Bulk.

Cell and atoms, written as CIF:
```
data_Tb3Pm8Dy2
_symmetry_space_group_name_H-M 'P -1'
_symmetry_Int_Tables_number 2
_symmetry_space_group_name_Hall '-P 1'
_cell_length_a 6.2535
_cell_length_b 6.2624
_cell_length_c 11.4290
_cell_angle_alpha 79.47
_cell_angle_beta 89.89
_cell_angle_gamma 80.48
loop_
_atom_site_label
_atom_site_fract_x
_atom_site_fract_y
_atom_site_fract_z
Tb1 0.0000 0.0000 0.0000
Tb2 0.2308 0.6145 0.5386
Pm1 0.0785 0.5388 0.8471
Pm2 0.1535 0.0777 0.6929
Pm3 0.3083 0.1539 0.3843
Pm4 0.3843 0.6928 0.2296
Dy1 0.4607 0.2305 0.0760
```

Magnetization = 0.000 μB/f.u.
ρ = 7510 kg/m³

---

Most stable: model 2. Least stable: model 1.

---

Model 1:
First-principles (PBE-GGA) data for a relaxed structure of Tb6Pm3Dy, as listed in Alexandria via LeMat-Bulk.

Cell and atoms, written as CIF:
```
data_Tb6Pm3Dy
_symmetry_space_group_name_H-M 'C 1 2/m 1'
_symmetry_Int_Tables_number 12
_symmetry_space_group_name_Hall '-C 2y'
_cell_length_a 11.5586
_cell_length_b 6.6231
_cell_length_c 9.6724
_cell_angle_alpha 90.00
_cell_angle_beta 114.43
_cell_angle_gamma 90.00
loop_
_atom_site_label
_atom_site_fract_x
_atom_site_fract_y
_atom_site_fract_z
Tb1 0.1375 0.0000 0.4215
Tb2 0.1863 0.2461 0.8106
Pm1 0.0000 0.5000 0.5000
Pm2 0.0689 0.5000 0.1972
Dy1 0.0000 0.0000 0.0000
```

Magnetization = 0.000 μB/f.u.
ρ = 7641 kg/m³

---

Model 2:
First-principles (PBE-GGA) data for a relaxed structure of Tb6Pm3Dy, as listed in Alexandria via LeMat-Bulk.

Cell and atoms, written as CIF:
```
data_Tb6Pm3Dy
_symmetry_space_group_name_H-M 'C m c 21'
_symmetry_Int_Tables_number 36
_symmetry_space_group_name_Hall 'C 2c -2'
_cell_length_a 10.9491
_cell_length_b 18.9675
_cell_length_c 6.3642
_cell_angle_alpha 90.00
_cell_angle_beta 90.00
_cell_angle_gamma 90.00
loop_
_atom_site_label
_atom_site_fract_x
_atom_site_fract_y
_atom_site_fract_z
Tb1 0.0000 0.0390 0.0000
Tb2 0.0000 0.2730 0.7781
Tb3 0.1676 0.4552 0.6782
Tb4 0.2384 0.2905 0.4980
Pm1 0.0000 0.3874 0.2009
Pm2 0.1752 0.1137 0.5908
Dy1 0.0000 0.1951 0.2567
```

Magnetization = 0.000 μB/f.u.
ρ = 7795 kg/m³

---

Most stable: model 2. Least stable: model 1.

---

Model 1:
First-principles (PBE-GGA) data for a relaxed structure of Tb12Pm2Dy5, as listed in Alexandria via LeMat-Bulk.

Cell and atoms, written as CIF:
```
data_Tb12Pm2Dy5
_symmetry_space_group_name_H-M 'C 1 2/m 1'
_symmetry_Int_Tables_number 12
_symmetry_space_group_name_Hall '-C 2y'
_cell_length_a 15.7572
_cell_length_b 9.2405
_cell_length_c 8.5702
_cell_angle_alpha 90.00
_cell_angle_beta 91.24
_cell_angle_gamma 90.00
loop_
_atom_site_label
_atom_site_fract_x
_atom_site_fract_y
_atom_site_fract_z
Tb1 0.0591 0.0000 0.3337
Tb2 0.0899 0.5000 0.8818
Tb3 0.1268 0.1919 0.6589
Tb4 0.1544 0.3195 0.2420
Pm1 0.0000 0.1795 0.0000
Dy1 0.0000 0.5000 0.5000
Dy2 0.1992 0.0000 0.0134
Dy3 0.2309 0.5000 0.5732
```

Magnetization = 0.000 μB/f.u.
ρ = 8012 kg/m³

---

Model 2:
First-principles (PBE-GGA) data for a relaxed structure of Tb12Pm2Dy5, as listed in Alexandria via LeMat-Bulk.

Cell and atoms, written as CIF:
```
data_Tb12Pm2Dy5
_symmetry_space_group_name_H-M 'P -1'
_symmetry_Int_Tables_number 2
_symmetry_space_group_name_Hall '-P 1'
_cell_length_a 6.1737
_cell_length_b 9.4287
_cell_length_c 11.2625
_cell_angle_alpha 90.03
_cell_angle_beta 100.57
_cell_angle_gamma 109.02
loop_
_atom_site_label
_atom_site_fract_x
_atom_site_fract_y
_atom_site_fract_z
Tb1 0.0526 0.3681 0.1041
Tb2 0.1057 0.7381 0.2096
Tb3 0.1583 0.1046 0.3152
Tb4 0.3144 0.2090 0.6323
Tb5 0.3690 0.5792 0.7386
Tb6 0.4205 0.9474 0.8427
Pm1 0.2101 0.4737 0.4202
Dy1 0.0000 0.0000 0.0000
Dy2 0.2644 0.8435 0.5264
Dy3 0.4736 0.3153 0.9474
```

Magnetization = 0.000 μB/f.u.
ρ = 8220 kg/m³

---

Most stable: model 2. Least stable: model 1.

---

Model 1:
First-principles (PBE-GGA) data for a relaxed structure of Tb5PmDy6, as listed in Alexandria via LeMat-Bulk.

Cell and atoms, written as CIF:
```
data_Tb5PmDy6
_symmetry_space_group_name_H-M 'C 1 2/m 1'
_symmetry_Int_Tables_number 12
_symmetry_space_group_name_Hall '-C 2y'
_cell_length_a 6.1643
_cell_length_b 10.6681
_cell_length_c 11.7874
_cell_angle_alpha 90.00
_cell_angle_beta 99.98
_cell_angle_gamma 90.00
loop_
_atom_site_label
_atom_site_fract_x
_atom_site_fract_y
_atom_site_fract_z
Tb1 0.0000 0.0000 0.0000
Tb2 0.0000 0.1667 0.5000
Tb3 0.0000 0.3332 0.0000
Pm1 0.0000 0.5000 0.5000
Dy1 0.2495 0.0000 0.7507
Dy2 0.2498 0.1669 0.2491
```

Magnetization = 0.000 μB/f.u.
ρ = 8329 kg/m³

---

Model 2:
First-principles (PBE-GGA) data for a relaxed structure of Tb5PmDy6, as listed in Alexandria via LeMat-Bulk.

Cell and atoms, written as CIF:
```
data_Tb5PmDy6
_symmetry_space_group_name_H-M 'I m m m'
_symmetry_Int_Tables_number 71
_symmetry_space_group_name_Hall '-I 2 2'
_cell_length_a 5.8045
_cell_length_b 7.3810
_cell_length_c 18.0256
_cell_angle_alpha 90.00
_cell_angle_beta 90.00
_cell_angle_gamma 90.00
loop_
_atom_site_label
_atom_site_fract_x
_atom_site_fract_y
_atom_site_fract_z
Tb1 0.0000 0.0000 0.0000
Tb2 0.0000 0.0000 0.3462
Tb3 0.0000 0.5000 0.3471
Pm1 0.0000 0.5000 0.0000
Dy1 0.0000 0.2501 0.1812
Dy2 0.0000 0.2497 0.5000
```

Magnetization = 0.000 μB/f.u.
ρ = 8234 kg/m³

---

Most stable: model 1. Least stable: model 2.

---

Model 1:
First-principles (PBE-GGA) data for a relaxed structure of Tb2Pm5Dy12, as listed in Alexandria via LeMat-Bulk.

Cell and atoms, written as CIF:
```
data_Tb2Pm5Dy12
_symmetry_space_group_name_H-M 'C 1 2/m 1'
_symmetry_Int_Tables_number 12
_symmetry_space_group_name_Hall '-C 2y'
_cell_length_a 15.6296
_cell_length_b 9.2782
_cell_length_c 8.6519
_cell_angle_alpha 90.00
_cell_angle_beta 92.35
_cell_angle_gamma 90.00
loop_
_atom_site_label
_atom_site_fract_x
_atom_site_fract_y
_atom_site_fract_z
Tb1 0.0000 0.1727 0.0000
Pm1 0.0000 0.5000 0.5000
Pm2 0.2075 0.0000 0.0220
Pm3 0.2310 0.5000 0.5711
Dy1 0.0566 0.0000 0.3372
Dy2 0.0729 0.5000 0.8752
Dy3 0.1299 0.1913 0.6702
Dy4 0.1478 0.3208 0.2397
```

Magnetization = 0.000 μB/f.u.
ρ = 7929 kg/m³

---

Model 2:
First-principles (PBE-GGA) data for a relaxed structure of Tb2Pm5Dy12, as listed in Alexandria via LeMat-Bulk.

Cell and atoms, written as CIF:
```
data_Tb2Pm5Dy12
_symmetry_space_group_name_H-M 'P -1'
_symmetry_Int_Tables_number 2
_symmetry_space_group_name_Hall '-P 1'
_cell_length_a 6.1856
_cell_length_b 9.4555
_cell_length_c 10.7186
_cell_angle_alpha 101.00
_cell_angle_beta 95.54
_cell_angle_gamma 90.05
loop_
_atom_site_label
_atom_site_fract_x
_atom_site_fract_y
_atom_site_fract_z
Tb1 0.0798 0.3174 0.4738
Pm1 0.2369 0.9473 0.4211
Pm2 0.3419 0.3684 0.0532
Pm3 0.5000 0.0000 0.0000
Dy1 0.0258 0.1057 0.1582
Dy2 0.1309 0.5264 0.7885
Dy3 0.1832 0.7368 0.1050
Dy4 0.2892 0.1588 0.7369
Dy5 0.3954 0.5786 0.3690
Dy6 0.4463 0.7881 0.6835
```

Magnetization = 0.000 μB/f.u.
ρ = 8115 kg/m³

---

Most stable: model 2. Least stable: model 1.